# 1
CaMg2Cu, relaxed, DFT GGA-PBE; ΔE_f = 135 meV/atom; space group = R3m; Fermi-level density of states = 2.546 states/eV per cell
1.0
1.833 1.058 8.733
-1.833 1.058 8.733
0.000 -2.117 8.733
Ca Mg Cu
1 2 1
Direct
0.000 0.000 0.000
0.531 0.531 0.531
0.775 0.775 0.775
0.258 0.258 0.258


# 2
Ca3Mg2Cu, relaxed, DFT GGA-PBE; ΔE_f = 74 meV/atom; space group = R-3m; energy above the lowest structure with this stoichiometry = 0.59 eV per formula unit; Fermi-level density of states = 5.157 states/eV per cell
1.0
3.612 2.085 4.155
-3.612 2.085 4.155
0.000 -4.171 4.155
Ca Mg Cu
3 2 1
Direct
0.000 0.500 0.500
0.500 0.000 0.500
0.500 0.500 0.000
0.117 0.117 0.117
0.883 0.883 0.883
0.500 0.500 0.500


# 3
CaMg2Cu, relaxed, DFT GGA-PBE; ΔE_f = -50 meV/atom; space group = I4/mmm; Fermi-level density of states = 4.221 states/eV per cell
1.0
-2.388 2.388 8.115
2.388 -2.388 8.115
2.388 2.388 -8.115
Ca Mg Cu
2 4 2
Direct
0.146 0.146 0.000
0.854 0.854 0.000
0.000 0.500 0.500
0.351 0.351 0.000
0.500 0.000 0.500
0.649 0.649 0.000
0.250 0.750 0.500
0.750 0.250 0.500


# 4
CaMg2Cu, relaxed, DFT GGA-PBE; ΔE_f = 35 meV/atom; space group = I4/mmm; Fermi-level density of states = 4.406 states/eV per cell
1.0
-2.460 2.460 7.502
2.460 -2.460 7.502
2.460 2.460 -7.502
Ca Mg Cu
2 4 2
Direct
0.250 0.750 0.500
0.750 0.250 0.500
0.000 0.500 0.500
0.108 0.108 0.000
0.500 0.000 0.500
0.892 0.892 0.000
0.394 0.394 0.000
0.606 0.606 0.000


# 5
CaMg2Cu2, relaxed, DFT GGA-PBE; ΔE_f = -52 meV/atom; space group = Immm; energy above the lowest structure with this stoichiometry = 0.30 eV per formula unit; Fermi-level density of states = 1.976 states/eV per cell
1.0
-2.303 2.991 3.629
2.303 -2.991 3.629
2.303 2.991 -3.629
Ca Mg Cu
1 2 2
Direct
0.000 0.000 0.000
0.298 0.798 0.500
0.702 0.202 0.500
0.303 0.500 0.803
0.697 0.500 0.197


# 6
Ca2MgCu6, relaxed, DFT GGA-PBE; ΔE_f = -55 meV/atom; space group = P-3m1; Fermi-level density of states = 3.112 states/eV per cell
1.0
5.654 0.000 0.000
-2.827 4.897 0.000
0.000 0.000 5.714
Ca Mg Cu
2 1 6
Direct
0.333 0.667 0.342
0.667 0.333 0.658
0.000 0.000 0.500
0.184 0.368 0.851
0.184 0.816 0.851
0.368 0.184 0.149
0.632 0.816 0.851
0.816 0.184 0.149
0.816 0.632 0.149


# 7
CaMgCu, relaxed, DFT GGA-PBE; ΔE_f = -61 meV/atom; space group = I4mm; Fermi-level density of states = 1.651 states/eV per cell
1.0
-1.709 1.709 5.792
1.709 -1.709 5.792
1.709 1.709 -5.792
Ca Mg Cu
1 1 1
Direct
0.000 0.000 0.000
0.280 0.280 0.000
0.665 0.665 0.000


# 8
CaMg2Cu, relaxed, DFT GGA-PBE; ΔE_f = -37 meV/atom; space group = P4/mmm; Fermi-level density of states = 1.943 states/eV per cell
1.0
3.338 0.000 0.000
0.000 3.338 0.000
0.000 0.000 8.150
Ca Mg Cu
1 2 1
Direct
0.000 0.000 0.000
0.500 0.500 0.317
0.500 0.500 0.683
0.000 0.000 0.500


- Number 6 is which compound?
  Ca2MgCu6


- The lowest Fermi-level density of states belongs to which entry?
  CaMgCu